(1)
Here is a geometry-optimized YPbAu3 structure from the Alexandria database. Energies are from PBE-GGA.

Cell lengths 5.263, 5.263, 5.263 Å; angles 90.00, 90.00, 90.00 degrees
Atoms (fractional coordinates):
Y (0.000, 0.000, 0.000)
Pb (0.500, 0.500, 0.500)
Au (0.000, 0.500, 0.500)
Au (0.500, 0.000, 0.500)
Au (0.500, 0.500, 0.000)

Calculated values
Fermi-level density of states = 4.0 states/eV/f.u.
Relative energy among the computed polymorphs = 0.016 eV/atom
DFT total energy = -3.695 eV per atom
Calculated volume = 29.2 A^3/atom
ΔE_f = 0.3057 eV per atom

---

(2)
Here is a geometry-optimized DyYI6 structure from the Alexandria database. Energies are from PBE-GGA.

Cell lengths 8.292, 8.292, 7.462 Å; angles 98.19, 98.19, 126.49 degrees
Atoms (fractional coordinates):
Dy (0.000, 0.000, 0.000)
Y (0.500, 0.500, 0.500)
I (0.106, 0.394, 0.249)
I (0.249, 0.249, 0.750)
I (0.394, 0.106, 0.249)
I (0.606, 0.894, 0.751)
I (0.751, 0.751, 0.250)
I (0.894, 0.606, 0.751)

Calculated values
Fermi-level density of states = 0.0 states/eV/f.u.
Relative energy among the computed polymorphs = 0.000 eV/atom
Uncorrected formation energy = -1.355 eV/atom
DFT total energy = -3.901 eV per atom
Calculated volume = 48.9 A^3/atom

---

(3)
Here is a geometry-optimized K4NbSe4 structure from the Alexandria database. Energies are from PBE-GGA.

Cell lengths 8.491, 8.491, 8.491 Å; angles 125.39, 125.39, 80.89 degrees
Atoms (fractional coordinates):
K (0.000, 0.500, 0.500)
K (0.196, 0.196, 0.000)
K (0.500, 0.000, 0.500)
K (0.804, 0.804, 0.000)
Nb (0.500, 0.500, 0.000)
Se (0.204, 0.204, 0.628)
Se (0.424, 0.796, 0.000)
Se (0.576, 0.576, 0.372)
Se (0.796, 0.424, 0.000)

Calculated values
Fermi-level density of states = 4.8 states/eV/f.u.
Uncorrected formation energy = -0.997 eV/atom
DFT total energy = -4.152 eV per atom
Calculated volume = 43.6 A^3/atom

---

(4)
Here is a geometry-optimized KLiZnGe2 structure from the Alexandria database. Energies are from PBE-GGA.

Cell lengths 4.929, 4.929, 5.724 Å; angles 90.00, 90.00, 90.00 degrees
Atoms (fractional coordinates):
K (0.000, 0.000, 0.000)
Li (0.500, 0.500, 0.000)
Zn (0.000, 0.000, 0.500)
Ge (0.000, 0.500, 0.500)
Ge (0.500, 0.000, 0.500)

Calculated values
Fermi-level density of states = 3.5 states/eV/f.u.
DFT total energy = -2.345 eV per atom
Calculated volume = 27.8 A^3/atom
ΔE_f = 0.3590 eV per atom

---

(5)
Here is a geometry-optimized NaLa2Sc structure from the Alexandria database. Energies are from PBE-GGA.

Cell lengths 7.112, 7.112, 7.112 Å; angles 102.34, 102.34, 124.94 degrees
Atoms (fractional coordinates):
Na (0.000, 0.000, 0.000)
Na (0.750, 0.250, 0.500)
La (0.123, 0.625, 0.998)
La (0.375, 0.373, 0.498)
La (0.627, 0.125, 0.002)
La (0.875, 0.877, 0.502)
Sc (0.250, 0.750, 0.500)
Sc (0.500, 0.500, 0.000)

Calculated values
Fermi-level density of states = 6.7 states/eV/f.u.
Relative energy among the computed polymorphs = 0.330 eV/atom
DFT total energy = -3.908 eV per atom
Calculated volume = 32.7 A^3/atom
ΔE_f = 0.4685 eV per atom

---

(6)
Here is a geometry-optimized MnCoGeIr structure from the Alexandria database. Energies are from PBE-GGA.

Cell lengths 4.215, 4.215, 4.215 Å; angles 60.00, 60.00, 60.00 degrees
Atoms (fractional coordinates):
Mn (0.000, 0.000, 0.000)
Co (0.250, 0.250, 0.250)
Ge (0.500, 0.500, 0.500)
Ir (0.750, 0.750, 0.750)

Calculated values
Fermi-level density of states = 1.9 states/eV/f.u.
DFT total energy = -7.660 eV per atom
Calculated volume = 13.2 A^3/atom
ΔE_f = -0.2215 eV per atom

---

(7)
Here is a geometry-optimized DyFe2 structure from the Alexandria database. Energies are from PBE-GGA.

Cell lengths 5.134, 5.134, 5.134 Å; angles 60.00, 60.00, 60.00 degrees
Atoms (fractional coordinates):
Dy (0.125, 0.125, 0.125)
Dy (0.875, 0.875, 0.875)
Fe (0.000, 0.500, 0.500)
Fe (0.500, 0.000, 0.500)
Fe (0.500, 0.500, 0.000)
Fe (0.500, 0.500, 0.500)

Calculated values
Fermi-level density of states = 4.5 states/eV/f.u.
DFT total energy = -7.257 eV per atom
Calculated volume = 15.9 A^3/atom
ΔE_f = -0.0814 eV per atom

---

(8)
Here is a geometry-optimized ScAl2Ag structure from the Alexandria database. Energies are from PBE-GGA.

Cell lengths 5.296, 5.296, 5.126 Å; angles 110.71, 110.71, 33.87 degrees
Atoms (fractional coordinates):
Sc (0.000, 0.000, 0.000)
Al (0.236, 0.236, 0.735)
Al (0.764, 0.764, 0.265)
Ag (0.500, 0.500, 0.500)

Calculated values
Fermi-level density of states = 3.0 states/eV/f.u.
DFT total energy = -4.308 eV per atom
Calculated volume = 18.6 A^3/atom
ΔE_f = -0.1410 eV per atom

---

(9)
Here is a geometry-optimized NdErCu3 structure from the Alexandria database. Energies are from PBE-GGA.

Cell lengths 12.854, 12.854, 4.308 Å; angles 90.00, 90.00, 163.33 degrees
Atoms (fractional coordinates):
Nd (0.073, 0.927, 0.750)
Nd (0.927, 0.073, 0.250)
Er (0.205, 0.795, 0.250)
Er (0.795, 0.205, 0.750)
Cu (0.325, 0.675, 0.250)
Cu (0.379, 0.621, 0.750)
Cu (0.476, 0.524, 0.750)
Cu (0.524, 0.476, 0.250)
Cu (0.621, 0.379, 0.250)
Cu (0.675, 0.325, 0.750)

Calculated values
Fermi-level density of states = 3.5 states/eV/f.u.
DFT total energy = -4.554 eV per atom
Calculated volume = 20.4 A^3/atom
ΔE_f = -0.2305 eV per atom

---

(10)
Here is a geometry-optimized Ce6Al2Tl structure from the Alexandria database. Energies are from PBE-GGA.

Cell lengths 9.045, 9.045, 3.006 Å; angles 90.00, 90.00, 120.00 degrees
Atoms (fractional coordinates):
Ce (0.000, 0.348, 0.000)
Ce (0.000, 0.652, 0.000)
Ce (0.348, 0.000, 0.000)
Ce (0.348, 0.348, 0.000)
Ce (0.652, 0.000, 0.000)
Ce (0.652, 0.652, 0.000)
Al (0.333, 0.667, 0.500)
Al (0.667, 0.333, 0.500)
Tl (0.000, 0.000, 0.500)

Calculated values
Fermi-level density of states = 22.1 states/eV/f.u.
Relative energy among the computed polymorphs = 0.000 eV/atom
DFT total energy = -5.228 eV per atom
Calculated volume = 23.7 A^3/atom
ΔE_f = -0.1777 eV per atom

---

(11)
Here is a geometry-optimized Mo2PdBr8 structure from the Alexandria database. Energies are from PBE-GGA.

Cell lengths 8.078, 8.078, 6.743 Å; angles 91.51, 91.51, 77.69 degrees
Atoms (fractional coordinates):
Mo (0.182, 0.182, 0.310)
Mo (0.818, 0.818, 0.690)
Pd (0.000, 0.000, 0.000)
Br (0.089, 0.678, 0.827)
Br (0.149, 0.149, 0.662)
Br (0.322, 0.911, 0.173)
Br (0.373, 0.373, 0.294)
Br (0.627, 0.627, 0.706)
Br (0.678, 0.089, 0.827)
Br (0.851, 0.851, 0.338)
Br (0.911, 0.322, 0.173)

Calculated values
Uncorrected formation energy = -0.296 eV/atom
DFT total energy = -3.954 eV per atom
Calculated volume = 39.1 A^3/atom

---

(12)
Here is a geometry-optimized Dy2ScAu structure from the Alexandria database. Energies are from PBE-GGA.

Cell lengths 9.908, 9.908, 9.908 Å; angles 20.93, 20.93, 20.93 degrees
Atoms (fractional coordinates):
Dy (0.000, 0.000, 0.000)
Dy (0.184, 0.184, 0.184)
Sc (0.759, 0.759, 0.759)
Au (0.592, 0.592, 0.592)

Calculated values
Fermi-level density of states = 6.0 states/eV/f.u.
Relative energy among the computed polymorphs = 0.137 eV/atom
DFT total energy = -4.945 eV per atom
Calculated volume = 27.2 A^3/atom
ΔE_f = -0.2417 eV per atom